AcLaPt: optimized geometry, PBE.

Geometry as POSCAR:
```
AcLaPt
1.0
4.100 0.000 0.000
2.044 6.670 0.000
2.041 1.439 7.120
Ac La Pt
2 2 2
direct
0.085 0.216 0.115
0.915 0.784 0.885
0.329 0.265 0.576
0.671 0.735 0.424
0.363 0.569 0.203
0.637 0.431 0.797
```

Values from the calculation:
Total energy = -5.84 eV per atom
ΔH_f (0 K) = -0.81 eV per atom